A plane-wave DFT calculation with PBE with a Hubbard U was carried out for a relaxed structure of La2PmMoO8.

Summary:
symmetry = No. 10
calculated total energy = -7.68 eV/atom

Cell lengths 4.410, 7.204, 5.516 Å; angles 90.00, 94.67, 90.00 degrees
Atoms (fractional coordinates):
La1 0.000 0.248 0.000
La2 0.000 0.752 0.000
Pm1 0.500 0.500 0.500
Mo1 0.500 0.000 0.500
O1 0.047 0.500 0.251
O2 0.096 0.000 0.330
O3 0.435 0.204 0.730
O4 0.435 0.796 0.730
O5 0.565 0.204 0.270
O6 0.565 0.796 0.270
O7 0.904 0.000 0.670
O8 0.953 0.500 0.749